Computed, not measured: LiGa6Re after structural relaxation at the PBE level of DFT.

Cell lengths 5.5594, 5.5594, 5.5594 Å; angles 99.52, 99.52, 99.52 degrees
Fractional coordinates of all 8 atoms:
Li1 0.0000 0.0000 0.0000
Ga1 0.1865 0.1865 0.5931
Ga2 0.1865 0.5931 0.1865
Ga3 0.4069 0.8135 0.8135
Ga4 0.5931 0.1865 0.1865
Ga5 0.8135 0.4069 0.8135
Ga6 0.8135 0.8135 0.4069
Re1 0.5000 0.5000 0.5000

total magnetization	0.00	μB per cell
formation enthalpy at 0 K	0.10	eV/atom

Computed, not measured: MgTcGe after structural relaxation at the PBE level of DFT.

Cell lengths 4.0408, 4.0408, 6.4874 Å; angles 90.00, 90.00, 90.00 degrees
Fractional coordinates of all 6 atoms:
Mg1 0.2500 0.2500 0.1707
Mg2 0.7500 0.7500 0.8293
Tc1 0.2500 0.7500 0.5000
Tc2 0.7500 0.2500 0.5000
Ge1 0.2500 0.2500 0.7465
Ge2 0.7500 0.7500 0.2535

total magnetization	0.83	μB per cell
formation enthalpy at 0 K	-0.16	eV/atom
energy above the most stable polymorph in this dataset	0.0	meV per atom

Please write out number 2 again, unchanged.
Computed, not measured: MgTcGe after structural relaxation at the PBE level of DFT.

Cell lengths 4.0408, 4.0408, 6.4874 Å; angles 90.00, 90.00, 90.00 degrees
Fractional coordinates of all 6 atoms:
Mg1 0.2500 0.2500 0.1707
Mg2 0.7500 0.7500 0.8293
Tc1 0.2500 0.7500 0.5000
Tc2 0.7500 0.2500 0.5000
Ge1 0.2500 0.2500 0.7465
Ge2 0.7500 0.7500 0.2535

total magnetization	0.83	μB per cell
formation enthalpy at 0 K	-0.16	eV/atom
energy above the most stable polymorph in this dataset	0.0	meV per atom

Q: What is the formation enthalpy at 0 K in the first record?
A: 0.10 eV/atom

Q: Among the records above, which one has the lowest formation enthalpy at 0 K?
A: MgTcGe

Q: The lowest total magnetization belongs to which entry?
A: LiGa6Re